VASP calculation (PBE) on a relaxed structure of Be2OsRu.

Computed properties:
- SG: Amm2
- Density: 11.860 g cm⁻³
- Final energy: -7.190 eV/atom
- Energy above the most stable polymorph in this dataset: 29 meV per atom

Lattice parameters (Å, degrees): 3.705 2.800 4.404 71.39 90.00 90.00
Sites, in units of the cell vectors:
Ru (0.500, 0.775, 0.827)
Os (0.000, 0.475, 0.424)
Be (0.000, 0.201, 0.975)
Be (0.500, 0.050, 0.274)